Entry 1:
# Ga2Ni5Te4

An optimized crystal structure of Ga2Ni5Te4 (GGA-PBE, the Alexandria database).

Energy = -4.5578 eV per atom
Crystal system = trigonal

Unit cell a=3.8710 b=3.8710 c=15.4652 alpha=90.00 beta=90.00 gamma=120.00
Last column: nearest neighbours and their distance in Å.
Space group P-3m1 (No. 164)
Symmetry-distinct sites (fractional):
Ga1 0.3333 0.6667 0.2456  6 Ni 2.52-2.59
Ni1 0.0000 0.0000 0.1701  1 Ni 2.47, 3 Ga 2.52, 3 Te 2.54
Ni2 0.0000 0.0000 0.3297  2 Ni 2.47-2.63, 3 Te 2.54, 3 Ga 2.59
Ni3 0.0000 0.0000 0.5000  2 Ni 2.63, 6 Te 2.65
Te1 0.3333 0.6667 0.5919  6 Ni 2.54-2.65
Te2 0.3333 0.6667 0.9087  3 Ni 2.54


Entry 2:
# Pm5PrSb4

An optimized crystal structure of Pm5PrSb4 (GGA-PBE, the Alexandria database).

Energy = -5.2898 eV per atom
Crystal system = monoclinic

Unit cell a=19.2296 b=4.4283 c=8.7298 alpha=90.00 beta=105.64 gamma=90.00
Last column: nearest neighbours and their distance in Å.
Space group C2/m (No. 12)
Symmetry-distinct sites (fractional):
Pm1 0.0000 0.0000 0.0000  4 Sb 3.08
Pm2 0.1624 0.5000 0.3321  4 Sb 3.09-3.14
Pm3 0.1747 0.5000 0.8473  3 Sb 3.10-3.13
Pr1 0.0000 0.0000 0.5000  6 Sb 3.14-3.17
Sb1 0.0072 0.5000 0.7596  4 Pm 3.08-3.14, 2 Pr 3.14
Sb2 0.1711 0.0000 0.5924  5 Pm 3.09-3.14, 1 Pr 3.17


Entry 3:
# GdTiTlZn

An optimized crystal structure of GdTiTlZn (GGA-PBE, the Alexandria database).

Crystal system = cubic
ΔH_f (0 K) = -0.062 eV/atom

Unit cell a=7.0906 b=7.0906 c=7.0906 alpha=90.00 beta=90.00 gamma=90.00
Last column: nearest neighbours and their distance in Å.
Space group F-43m (No. 216)
Symmetry-distinct sites (fractional):
Gd1 0.0000 0.0000 0.0000  4 Tl 3.07, 4 Zn 3.07
Ti1 0.0000 0.0000 0.5000  4 Tl 3.07, 4 Zn 3.07
Tl1 0.2500 0.2500 0.2500  4 Gd 3.07, 4 Ti 3.07
Zn1 0.2500 0.2500 0.7500  4 Gd 3.07, 4 Ti 3.07


Entry 4:
# LiHoGa2

An optimized crystal structure of LiHoGa2 (GGA-PBE, the Alexandria database).

Crystal system = tetragonal
ΔH_f (0 K) = -0.446 eV/atom

Unit cell a=4.7082 b=4.7082 c=3.6264 alpha=90.00 beta=90.00 gamma=90.00
Last column: nearest neighbours and their distance in Å.
Space group P4/mmm (No. 123)
Symmetry-distinct sites (fractional):
Li1 0.0000 0.0000 0.0000  8 Ga 2.97
Ho1 0.5000 0.5000 0.0000  8 Ga 2.97
Ga1 0.0000 0.5000 0.5000  4 Li 2.97, 4 Ho 2.97


Entry 5:
# K2UGeSe4

An optimized crystal structure of K2UGeSe4 (GGA-PBE, the Alexandria database).

Energy = -5.0205 eV per atom
Crystal system = monoclinic

Unit cell a=7.3421 b=4.2337 c=7.9279 alpha=90.00 beta=107.43 gamma=90.00
Last column: nearest neighbours and their distance in Å.
Space group P2/m (No. 10)
Symmetry-distinct sites (fractional):
K1 0.0000 0.0000 0.0000  6 Se 3.30-3.34
K2 0.5000 0.5000 0.0000  6 Se 3.34-3.38
U1 0.0000 0.5000 0.5000  6 Se 2.81-2.88
Ge1 0.5000 0.0000 0.5000  6 Se 2.88-2.90
Se1 0.2314 0.0000 0.7013  2 U 2.88, 1 Ge 2.88
Se2 0.2597 0.5000 0.3023  1 U 2.81, 2 Ge 2.90


Entry 6:
# TaB2As2

An optimized crystal structure of TaB2As2 (GGA-PBE, the Alexandria database).

Crystal system = tetragonal
ΔH_f (0 K) = 0.848 eV/atom

Unit cell a=3.4831 b=3.4831 c=11.4050 alpha=90.00 beta=90.00 gamma=90.00
Last column: nearest neighbours and their distance in Å.
Space group I4/mmm (No. 139)
Symmetry-distinct sites (fractional):
Ta1 0.0000 0.0000 0.0000  8 B 2.59
B1 0.0000 0.0000 0.4291  1 B 1.62
As1 0.0000 0.5000 0.2500  4 As 2.46, 4 B 2.68


Entry 7:
# ReHgSb

An optimized crystal structure of ReHgSb (GGA-PBE, the Alexandria database).

Energy = -4.9722 eV per atom
Crystal system = tetragonal

Unit cell a=3.1588 b=3.1588 c=13.2616 alpha=90.00 beta=90.00 gamma=90.00
Last column: nearest neighbours and their distance in Å.
Space group I4mm (No. 107)
Symmetry-distinct sites (fractional):
Re1 0.0000 0.0000 0.0000  4 Sb 2.78, 4 Hg 2.92
Hg1 0.0000 0.0000 0.3582  4 Re 2.92, 4 Hg 3.16
Sb1 0.0000 0.0000 0.6251  4 Re 2.78


Entry 8:
# SrTcAu2

An optimized crystal structure of SrTcAu2 (GGA-PBE, the Alexandria database).

Crystal system = tetragonal
ΔH_f (0 K) = 0.415 eV/atom

Unit cell a=5.1161 b=5.1161 c=17.5133 alpha=90.00 beta=90.00 gamma=90.00
Last column: nearest neighbours and their distance in Å.
Space group I-42d (No. 122)
Symmetry-distinct sites (fractional):
Sr1 0.0000 0.0000 0.0000  4 Au 3.20
Tc1 0.0000 0.0000 0.5000  4 Au 2.61
Au1 0.1196 0.2500 0.6250  2 Tc 2.61, 2 Au 2.84


no.,V (Å³ per atom)
1,18.25
2,35.79
3,22.28
4,20.10
5,29.39
6,13.84
7,22.05
8,28.65